VASP calculation (PBE) on a geometry-optimized TaTlO3 structure.

Summary:
- electronic total energy (eV per atom) = -8.0767
- space group = No. 227

Cell and atoms, written as extended XYZ:
```
20
Lattice="0.000 5.322 5.322 5.322 0.000 5.322 5.322 5.322 0.000" Properties=species:S:1:pos:R:3 pbc="T T T"
Ta 0.000 0.000 0.000
Ta 2.661 2.661 0.000
Ta 2.661 0.000 2.661
Ta 0.000 2.661 2.661
Tl 5.322 2.661 2.661
Tl 2.661 5.322 2.661
Tl 2.661 2.661 5.322
Tl 5.322 5.322 5.322
O 3.992 3.992 0.657
O 3.992 0.657 3.992
O 7.326 3.992 3.992
O 6.653 6.653 3.318
O 6.653 3.318 6.653
O 9.987 6.653 6.653
O 0.657 3.992 3.992
O 3.992 7.326 3.992
O 3.992 3.992 7.326
O 3.318 6.653 6.653
O 6.653 9.987 6.653
O 6.653 6.653 9.987
```